# 1
# AcPr12Co6

A geometry-optimized AcPr12Co6 structure (PBE-GGA, the Alexandria database).

Properties
The calculation puts the formation energy at -2.3 kJ per mole of atoms. Its space group is Im-3 (204). For the volume, the calculation gives 28.364 Å³ per atom. For the density of states at the Fermi level, the calculation gives 0.93 states/eV per atom.

POSCAR file:
```
AcPr12Co6
1.0
-5.126 5.126 5.126
5.126 -5.126 5.126
5.126 5.126 -5.126
Ac Pr Co
1 12 6
direct
0.000 0.000 0.000
0.119 0.314 0.805
0.195 0.509 0.314
0.195 0.881 0.686
0.314 0.195 0.509
0.314 0.805 0.119
0.491 0.686 0.805
0.509 0.314 0.195
0.686 0.195 0.881
0.686 0.805 0.491
0.805 0.119 0.314
0.805 0.491 0.686
0.881 0.686 0.195
0.110 0.500 0.610
0.390 0.890 0.500
0.500 0.390 0.890
0.500 0.610 0.110
0.610 0.110 0.500
0.890 0.500 0.390
```


# 2
# SrCa14Dy

A geometry-optimized SrCa14Dy structure (PBE-GGA, the Alexandria database).

Properties
The calculation puts the formation energy at 4.2 kJ per mole of atoms. Its space group is Amm2 (38). For the volume, the calculation gives 41.826 Å³ per atom. For the density of states at the Fermi level, the calculation gives 1.36 states/eV per atom.

POSCAR file:
```
SrCa14Dy
1.0
12.799 0.000 0.000
0.000 3.885 6.729
0.000 -3.885 6.729
Sr Ca Dy
1 14 1
direct
0.000 0.000 0.000
0.000 0.502 0.999
0.000 0.999 0.502
0.245 0.335 0.335
0.249 0.338 0.828
0.249 0.828 0.338
0.253 0.832 0.832
0.500 0.167 0.167
0.500 0.167 0.665
0.500 0.665 0.167
0.500 0.666 0.666
0.747 0.832 0.832
0.751 0.338 0.828
0.751 0.828 0.338
0.755 0.335 0.335
0.000 0.500 0.500
```


# 3
# GaPb3N

A geometry-optimized GaPb3N structure (PBE-GGA, the Alexandria database).

Properties
For the relative energy among the computed polymorphs, the calculation gives 0.0000 eV/atom. Its space group is Pm-3m (221). For the volume, the calculation gives 25.434 Å³ per atom. The value obtained for the formation energy without anion corrections is 0.554 eV per atom. For the density of states at the Fermi level, the calculation gives 0.56 states/eV per atom.

POSCAR file:
```
GaPb3N
1.0
5.029 0.000 0.000
0.000 5.029 0.000
0.000 0.000 5.029
Ga Pb N
1 3 1
direct
0.000 0.000 0.000
0.000 0.500 0.500
0.500 0.000 0.500
0.500 0.500 0.000
0.500 0.500 0.500
```


# 4
# BaSr2Sb

A geometry-optimized BaSr2Sb structure (PBE-GGA, the Alexandria database).

Properties
Its space group is C2/m (12). For the volume, the calculation gives 42.747 Å³ per atom. The value obtained for the formation energy without anion corrections is -0.252 eV per atom. For the density of states at the Fermi level, the calculation gives 1.16 states/eV per atom.

POSCAR file:
```
BaSr2Sb
1.0
3.824 -6.407 0.000
3.824 6.407 0.000
-1.975 0.000 3.489
Ba Sr Sb
1 2 1
direct
0.000 0.000 0.000
0.000 0.500 0.500
0.500 0.000 0.500
0.500 0.500 0.000
```


# 5
# Nd2HoTl3

A geometry-optimized Nd2HoTl3 structure (PBE-GGA, the Alexandria database).

Properties
For the relative energy among the computed polymorphs, the calculation gives 0.0000 eV/atom. The calculation puts the formation energy at -36.2 kJ per mole of atoms. Its space group is P4/mmm (123). For the volume, the calculation gives 28.873 Å³ per atom. For the density of states at the Fermi level, the calculation gives 0.78 states/eV per atom.

POSCAR file:
```
Nd2HoTl3
1.0
3.825 0.000 0.000
0.000 3.825 0.000
0.000 0.000 11.838
Nd Ho Tl
2 1 3
direct
0.000 0.000 0.172
0.000 0.000 0.828
0.000 0.000 0.500
0.500 0.500 0.000
0.500 0.500 0.345
0.500 0.500 0.655
```


# 6
# GaHBr

A geometry-optimized GaHBr structure (PBE-GGA, the Alexandria database).

Properties
For the relative energy among the computed polymorphs, the calculation gives 0.0000 eV/atom. Its space group is P-1 (2). For the volume, the calculation gives 20.242 Å³ per atom. For the density of states at the Fermi level, the calculation gives 0.18 states/eV per atom.

POSCAR file:
```
GaHBr
1.0
3.582 0.000 0.000
0.137 5.923 0.000
0.135 1.555 5.724
Ga H Br
2 2 2
direct
0.000 0.235 0.266
0.000 0.765 0.734
0.500 0.192 0.309
0.500 0.808 0.691
0.020 0.305 0.806
0.980 0.695 0.194
```


Theoretical density for every record listed, in sequence, given in g/cm³: 6.999 2.013 9.210 4.218 10.223 4.119.